Computed, not measured: a relaxed Ce2GaRu2 crystal at the PBE-GGA level of DFT.

Cell: 5.772 10.958 6.825 Å, 90.00 90.00 90.00°
Space group Ibam (No. 72)
Inequivalent atoms, fractional coordinates:
Ce (0.162, 0.153, 0.000) (multiplicity 8)
Ga (0.000, 0.500, 0.250) (multiplicity 4)
Ru (0.246, 0.374, 0.000) (multiplicity 8)

Properties
- spin magnetization (μB per formula unit) = 0.0
- formation energy (meV/atom) = -397